Here is a relaxed Tl2Pb2Br7 crystal from the Alexandria database. Energies are from PBE.

```
data_Tl2Pb2Br7
_chemical_formula_sum 'Tl4 Pb4 Br14'
_cell_length_a 4.3781
_cell_length_b 16.3773
_cell_length_c 10.1205
_cell_angle_alpha 90.00
_cell_angle_beta 90.00
_cell_angle_gamma 90.00
_symmetry_space_group_name_H-M 'I m m 2'
_symmetry_Int_Tables_number 44
_symmetry_space_group_name_Hall 'I 2 -2'
loop_
_atom_site_label
_atom_site_type_symbol
_atom_site_fract_x
_atom_site_fract_y
_atom_site_fract_z
_atom_site_occupancy
Tl1 Tl 0.0000 0.2441 0.0000 1
Pb1 Pb 0.0000 0.0000 0.7485 1
Pb2 Pb 0.0000 0.5000 0.7859 1
Br1 Br 0.0000 0.0000 0.0883 1
Br2 Br 0.0000 0.1044 0.4860 1
Br3 Br 0.0000 0.3153 0.7058 1
Br4 Br 0.0000 0.3756 0.3144 1
```

Values from the calculation:
- Total energy: -2.92 eV per atom
- D(E_F): 15.9 states/eV per cell
- Total magnetic moment: 0.00 μB per formula unit
- Distance to the lowest polymorph of the same formula: 0.00 kcal/mol of atoms
- Raw formation energy: -0.75 eV/atom



Here is a relaxed TlPb4Br crystal from the Alexandria database. Energies are from PBE.

```
data_TlPb4Br
_chemical_formula_sum 'Tl4 Pb16 Br4'
_cell_length_a 9.3029
_cell_length_b 9.3029
_cell_length_c 9.3029
_cell_angle_alpha 90.00
_cell_angle_beta 90.00
_cell_angle_gamma 90.00
_symmetry_space_group_name_H-M 'F -4 3 m'
_symmetry_Int_Tables_number 216
_symmetry_space_group_name_Hall 'F -4 2 3'
loop_
_atom_site_label
_atom_site_type_symbol
_atom_site_fract_x
_atom_site_fract_y
_atom_site_fract_z
_atom_site_occupancy
Tl1 Tl 0.0000 0.0000 0.0000 1
Pb1 Pb 0.1257 0.1257 0.3743 1
Br1 Br 0.2500 0.2500 0.7500 1
```

Values from the calculation:
- Total energy: -3.13 eV per atom
- D(E_F): 21.8 states/eV per cell
- Total magnetic moment: 0.00 μB per formula unit
- Raw formation energy: 0.01 eV/atom